[1]
Density functional theory data (GGA-PBE) for BeZn2GeF after structural relaxation.

## Properties
**Size of the total moment**: 0.00 μB/f.u.
**Symmetry**: P4/mmm
**Total energy**: -2.75 eV per atom

Structure (CIF):
```
data_BeZn2GeF
_chemical_formula_sum 'Be1 Zn2 Ge1 F1'
_symmetry_space_group_name_H-M 'P 1'
_symmetry_Int_Tables_number 1
_cell_length_a 5.433
_cell_length_b 5.433
_cell_length_c 2.899
_cell_angle_alpha 90.00
_cell_angle_beta 90.00
_cell_angle_gamma 90.00
loop_
_symmetry_equiv_pos_as_xyz
'x,y,z'
loop_
_atom_site_label
_atom_site_type_symbol
_atom_site_fract_x
_atom_site_fract_y
_atom_site_fract_z
Be1 Be 0.000 0.000 0.000
Zn1 Zn 0.000 0.500 0.500
Zn2 Zn 0.500 0.000 0.500
Ge1 Ge 0.500 0.500 0.000
F1 F 0.000 0.000 0.500
```



[2]
Density functional theory data (GGA-PBE) for BeHF after structural relaxation.

## Properties
**Size of the total moment**: 0.00 μB/f.u.
**Symmetry**: P2_1/c
**Total energy**: -4.59 eV per atom

Structure (CIF):
```
data_BeHF
_chemical_formula_sum 'Be4 H4 F4'
_symmetry_space_group_name_H-M 'P 1'
_symmetry_Int_Tables_number 1
_cell_length_a 5.503
_cell_length_b 4.197
_cell_length_c 5.279
_cell_angle_alpha 90.00
_cell_angle_beta 102.52
_cell_angle_gamma 90.00
loop_
_symmetry_equiv_pos_as_xyz
'x,y,z'
loop_
_atom_site_label
_atom_site_type_symbol
_atom_site_fract_x
_atom_site_fract_y
_atom_site_fract_z
Be1 Be 0.148 0.177 0.284
Be2 Be 0.148 0.323 0.784
Be3 Be 0.852 0.677 0.216
Be4 Be 0.852 0.823 0.716
H1 H 0.091 0.662 0.768
H2 H 0.091 0.838 0.268
H3 H 0.909 0.162 0.732
H4 H 0.909 0.338 0.232
F1 F 0.293 0.247 0.567
F2 F 0.293 0.253 0.067
F3 F 0.707 0.747 0.933
F4 F 0.707 0.753 0.433
```



[3]
Density functional theory data (GGA-PBE) for BeHF after structural relaxation.

## Properties
**Size of the total moment**: 0.00 μB/f.u.
**Symmetry**: P3_2
**Total energy**: -4.60 eV per atom

Structure (CIF):
```
data_BeHF
_chemical_formula_sum 'Be3 H3 F3'
_symmetry_space_group_name_H-M 'P 1'
_symmetry_Int_Tables_number 1
_cell_length_a 4.577
_cell_length_b 4.577
_cell_length_c 4.948
_cell_angle_alpha 90.00
_cell_angle_beta 90.00
_cell_angle_gamma 120.00
loop_
_symmetry_equiv_pos_as_xyz
'x,y,z'
loop_
_atom_site_label
_atom_site_type_symbol
_atom_site_fract_x
_atom_site_fract_y
_atom_site_fract_z
Be1 Be 0.023 0.481 0.000
Be2 Be 0.459 0.977 0.333
Be3 Be 0.519 0.541 0.667
H1 H 0.145 0.716 0.223
H2 H 0.284 0.429 0.890
H3 H 0.571 0.855 0.557
F1 F 0.392 0.257 0.450
F2 F 0.743 0.135 0.116
F3 F 0.865 0.608 0.783
```